## 1
Density functional theory data (GGA-PBE) for a geometry-optimized Tb3CoI structure.

Cell lengths 3.9686, 7.0574, 9.9320 Å; angles 90.00, 90.00, 90.00 degrees
Element x y z (fractional)
Tb 0.2500 0.0050 0.1411
Tb 0.2500 0.4950 0.1411
Tb 0.2500 0.7500 0.6195
Tb 0.7500 0.2500 0.3805
Tb 0.7500 0.5050 0.8589
Tb 0.7500 0.9950 0.8589
Co 0.2500 0.7500 0.8982
Co 0.7500 0.2500 0.1018
I 0.2500 0.2500 0.6437
I 0.7500 0.7500 0.3563

## Properties
**Symmetry**: Pmmn (59)

## 2
Density functional theory data (GGA-PBE) for a geometry-optimized Tb3CoI structure.

Cell lengths 7.8077, 7.8077, 10.1945 Å; angles 107.22, 107.22, 28.12 degrees
Element x y z (fractional)
Tb 0.0290 0.0290 0.3606
Tb 0.2269 0.2269 0.6443
Tb 0.3462 0.3462 0.1189
Tb 0.6538 0.6538 0.8811
Tb 0.7731 0.7731 0.3557
Tb 0.9710 0.9710 0.6394
Co 0.4105 0.4105 0.4107
Co 0.5895 0.5895 0.5893
I 0.1246 0.1246 0.1228
I 0.8754 0.8754 0.8772

## Properties
**Symmetry**: C2/m (12)

List of relative energies, unit kJ/mol of atoms: 1 3.6; 2 0.0

## 1
Density functional theory data (GGA-PBE) for a geometry-optimized CoTc2I structure.

Cell lengths 6.8419, 6.8419, 6.8419 Å; angles 132.13, 132.13, 70.03 degrees
Element x y z (fractional)
Co 0.0000 0.0000 0.0000
Co 0.7500 0.2500 0.5000
Tc 0.0644 0.6250 0.9394
Tc 0.3750 0.3144 0.4394
Tc 0.6856 0.1250 0.0606
Tc 0.8750 0.9356 0.5606
I 0.2500 0.7500 0.5000
I 0.5000 0.5000 0.0000

## Properties
**Symmetry**: I-42d (122)

## 2
Density functional theory data (GGA-PBE) for a geometry-optimized CoTc2I structure.

Cell lengths 4.4075, 4.4075, 4.4075 Å; angles 60.00, 60.00, 60.00 degrees
Element x y z (fractional)
Co 0.0000 0.0000 0.0000
Tc 0.2500 0.2500 0.2500
Tc 0.7500 0.7500 0.7500
I 0.5000 0.5000 0.5000

## Properties
**Symmetry**: Fm-3m (225)

List of relative energies, unit kJ/mol of atoms: 1 35.9; 2 0.0

## 1
Density functional theory data (GGA-PBE) for a geometry-optimized CoTcI3 structure.

Cell lengths 5.4088, 5.4088, 5.4088 Å; angles 90.00, 90.00, 90.00 degrees
Element x y z (fractional)
Co 0.0000 0.0000 0.0000
Tc 0.5000 0.5000 0.5000
I 0.0000 0.5000 0.5000
I 0.5000 0.0000 0.5000
I 0.5000 0.5000 0.0000

## Properties
**Symmetry**: Pm-3m (221)

## 2
Density functional theory data (GGA-PBE) for a geometry-optimized CoTcI3 structure.

Cell lengths 5.2592, 5.2592, 5.2592 Å; angles 90.00, 90.00, 90.00 degrees
Element x y z (fractional)
Co 0.0000 0.0000 0.0000
Tc 0.5000 0.5000 0.5000
I 0.0000 0.0000 0.5000
I 0.0000 0.5000 0.0000
I 0.5000 0.0000 0.0000

## Properties
**Symmetry**: Pm-3m (221)

List of relative energies, unit kJ/mol of atoms: 1 14.4; 2 0.0